Density functional theory data (PBE) for crystalline GdGeRh2 at its relaxed geometry.

M_tot (μB/f.u.): 7.0
Energy of formation (kJ per mole of atoms): -65
Space group: No. 123
Final energy (eV per atom): -9.022

Unit cell a=3.686 b=4.334 c=4.334 alpha=90.00 beta=90.00 gamma=90.00
Site moments in Bohr magnetons follow the coordinates.
Fractional coordinates of all 4 atoms:
1 Rh 0.000 0.500 0.000  0.00
2 Rh 0.000 0.000 0.500  0.00
3 Gd 0.500 0.500 0.500  6.96
4 Ge 0.500 0.000 0.000  -0.01

Density functional theory data (PBE) for crystalline KFeRe at its relaxed geometry.

M_tot (μB/f.u.): 0.2
Energy of formation (kJ per mole of atoms): 302
Energy relative to the lowest polymorph listed for this composition (meV/atom): 2199
Space group: No. 216
Final energy (eV per atom): -4.204

Unit cell a=4.755 b=4.755 c=4.755 alpha=60.00 beta=60.00 gamma=60.00
Site moments in Bohr magnetons follow the coordinates.
Fractional coordinates of all 3 atoms:
1 Re 0.000 0.000 0.000  2.61
2 Fe 0.500 0.500 0.500  -3.18
3 K 0.250 0.250 0.250  0.04

Density functional theory data (PBE) for crystalline Y2PaTl3Se6 at its relaxed geometry.

M_tot (μB/f.u.): 2.1
Space group: No. 12
Final energy (eV per atom): -5.430
Uncorrected formation energy (eV/atom): -1.228

Unit cell a=7.223 b=7.223 c=8.254 alpha=98.39 beta=98.39 gamma=119.97
Site moments in Bohr magnetons follow the coordinates.
Fractional coordinates of all 12 atoms:
1 Se 0.737 0.737 0.205  -0.01
2 Se 0.932 0.600 0.796  -0.01
3 Se 0.068 0.400 0.204  -0.01
4 Se 0.400 0.068 0.204  -0.01
5 Se 0.263 0.263 0.795  -0.01
6 Se 0.600 0.932 0.796  -0.01
7 Tl 0.500 0.500 0.500  0.01
8 Tl 0.168 0.832 0.500  0.01
9 Tl 0.832 0.168 0.500  0.01
10 Y 0.334 0.666 0.000  0.12
11 Y 0.666 0.334 0.000  0.12
12 Pa 0.000 0.000 0.000  1.26

Density functional theory data (PBE) for crystalline Cs3Pm2NdS6 at its relaxed geometry.

M_tot (μB/f.u.): 0.0
Space group: No. 12
Final energy (eV per atom): -5.282
Uncorrected formation energy (eV/atom): -1.815

Unit cell a=7.328 b=7.328 c=8.457 alpha=98.30 beta=98.30 gamma=120.00
Fractional coordinates of all 12 atoms:
1 S 0.603 0.938 0.814
2 S 0.727 0.727 0.186
3 S 0.273 0.273 0.814
4 S 0.938 0.603 0.814
5 S 0.062 0.397 0.186
6 S 0.397 0.062 0.186
7 Pm 0.667 0.333 0.000
8 Pm 0.333 0.667 0.000
9 Cs 0.833 0.167 0.500
10 Cs 0.500 0.500 0.500
11 Cs 0.167 0.833 0.500
12 Nd 0.000 0.000 0.000

Density functional theory data (PBE) for crystalline Tm12Cu6Pd at its relaxed geometry.

M_tot (μB/f.u.): 0.0
Energy of formation (kJ per mole of atoms): -22
Energy relative to the lowest polymorph listed for this composition (meV/atom): 0
Space group: No. 204
Final energy (eV per atom): -4.623

Unit cell a=8.309 b=8.309 c=8.309 alpha=109.47 beta=109.47 gamma=109.47
Fractional coordinates of all 19 atoms:
1 Tm 0.896 0.187 0.710
2 Tm 0.290 0.104 0.813
3 Tm 0.477 0.187 0.290
4 Tm 0.523 0.813 0.710
5 Tm 0.813 0.710 0.523
6 Tm 0.187 0.290 0.477
7 Tm 0.290 0.477 0.187
8 Tm 0.710 0.523 0.813
9 Tm 0.187 0.710 0.896
10 Tm 0.813 0.290 0.104
11 Tm 0.104 0.813 0.290
12 Tm 0.710 0.896 0.187
13 Cu 0.627 0.500 0.127
14 Cu 0.500 0.873 0.373
15 Cu 0.500 0.127 0.627
16 Cu 0.373 0.500 0.873
17 Cu 0.127 0.627 0.500
18 Cu 0.873 0.373 0.500
19 Pd 0.000 0.000 0.000

Density functional theory data (PBE) for crystalline TaMnRu2 at its relaxed geometry.

M_tot (μB/f.u.): 0.0
Energy of formation (kJ per mole of atoms): 9
Energy relative to the lowest polymorph listed for this composition (meV/atom): 354
Space group: No. 160
Final energy (eV per atom): -9.801

Unit cell a=2.755 b=2.755 c=8.875 alpha=81.07 beta=81.07 gamma=60.00
Fractional coordinates of all 4 atoms:
1 Mn 0.500 0.500 0.499
2 Ru 0.242 0.242 0.275
3 Ru 0.091 0.091 0.726
4 Ta 0.667 0.667 0.000

Density functional theory data (PBE) for crystalline NbRh at its relaxed geometry.

M_tot (μB/f.u.): 0.0
Energy of formation (kJ per mole of atoms): 98
Space group: No. 217
Final energy (eV per atom): -7.699

Unit cell a=7.902 b=7.902 c=7.902 alpha=90.00 beta=90.00 gamma=90.00
Fractional coordinates of all 16 atoms:
1 Nb 0.859 0.859 0.141
2 Nb 0.859 0.141 0.859
3 Nb 0.359 0.641 0.359
4 Nb 0.359 0.359 0.641
5 Nb 0.641 0.641 0.641
6 Nb 0.141 0.141 0.141
7 Nb 0.641 0.359 0.359
8 Nb 0.141 0.859 0.859
9 Rh 0.327 0.673 0.673
10 Rh 0.827 0.173 0.173
11 Rh 0.173 0.173 0.827
12 Rh 0.173 0.827 0.173
13 Rh 0.827 0.827 0.827
14 Rh 0.327 0.327 0.327
15 Rh 0.673 0.673 0.327
16 Rh 0.673 0.327 0.673

Density functional theory data (PBE) for crystalline YSc2Hg at its relaxed geometry.

M_tot (μB/f.u.): 0.6
Energy of formation (kJ per mole of atoms): -16
Space group: No. 25
Final energy (eV per atom): -5.027

Unit cell a=4.287 b=3.543 c=7.465 alpha=61.70 beta=90.00 gamma=90.00
Site moments in Bohr magnetons follow the coordinates.
Fractional coordinates of all 4 atoms:
1 Sc 0.000 0.998 0.002  0.15
2 Sc 0.500 0.273 0.227  0.11
3 Y 0.000 0.492 0.508  0.07
4 Hg 0.500 0.738 0.763  0.01

Density functional theory data (PBE) for crystalline KZr2Ir at its relaxed geometry.

M_tot (μB/f.u.): 0.0
Energy of formation (kJ per mole of atoms): 4
Energy relative to the lowest polymorph listed for this composition (meV/atom): 51
Space group: No. 123
Final energy (eV per atom): -6.719

Unit cell a=3.100 b=3.100 c=10.751 alpha=90.00 beta=90.00 gamma=90.06
Fractional coordinates of all 4 atoms:
1 K 0.500 0.500 0.750
2 Zr 0.000 0.000 0.419
3 Zr 0.000 0.000 0.081
4 Ir 0.500 0.500 0.250

Density functional theory data (PBE) for crystalline TbDy4Y at its relaxed geometry.

M_tot (μB/f.u.): 0.0
Energy of formation (kJ per mole of atoms): 14
Energy relative to the lowest polymorph listed for this composition (meV/atom): 123
Space group: No. 15
Final energy (eV per atom): -4.775

Unit cell a=6.464 b=8.736 c=8.598 alpha=111.77 beta=100.98 gamma=111.41
Fractional coordinates of all 12 atoms:
1 Y 0.335 0.585 0.169
2 Y 0.665 0.415 0.831
3 Tb 0.254 0.004 0.008
4 Tb 0.746 0.996 0.992
5 Dy 0.751 0.711 0.604
6 Dy 0.807 0.426 0.254
7 Dy 0.193 0.574 0.746
8 Dy 0.353 0.893 0.604
9 Dy 0.054 0.172 0.746
10 Dy 0.946 0.828 0.254
11 Dy 0.647 0.107 0.396
12 Dy 0.249 0.289 0.396

Density functional theory data (PBE) for crystalline Al2GaSb2 at its relaxed geometry.

M_tot (μB/f.u.): 0.0
Energy relative to the lowest polymorph listed for this composition (meV/atom): 20
Space group: No. 127
Final energy (eV per atom): -3.630
Uncorrected formation energy (eV/atom): 0.122

Unit cell a=7.761 b=7.761 c=3.758 alpha=90.00 beta=90.00 gamma=90.00
Fractional coordinates of all 10 atoms:
1 Al 0.370 0.870 0.000
2 Al 0.630 0.130 0.000
3 Al 0.870 0.630 0.000
4 Al 0.130 0.370 0.000
5 Ga 0.000 0.000 0.000
6 Ga 0.500 0.500 0.000
7 Sb 0.834 0.334 0.500
8 Sb 0.166 0.666 0.500
9 Sb 0.334 0.166 0.500
10 Sb 0.666 0.834 0.500

Density functional theory data (PBE) for crystalline Nd2SiP at its relaxed geometry.

M_tot (μB/f.u.): 0.0
Energy relative to the lowest polymorph listed for this composition (meV/atom): 166
Space group: No. 166
Final energy (eV per atom): -6.073
Uncorrected formation energy (eV/atom): -0.981

Unit cell a=4.113 b=4.113 c=7.582 alpha=74.26 beta=74.26 gamma=60.00
Fractional coordinates of all 4 atoms:
1 Nd 0.755 0.755 0.736
2 Nd 0.245 0.245 0.264
3 P 0.500 0.500 0.500
4 Si 0.000 0.000 0.000